1.
First-principles (PBE-GGA) data for a geometry-optimized HgH2SeBr2 structure, as listed in Alexandria via LeMat-Bulk.

a = 7.2297 Å, b = 7.2297 Å, c = 6.6210 Å
α = 90.00°, β = 90.00°, γ = 78.51°
Element x y z (fractional)
Hg1 0.1045 0.8955 0.5000
Hg2 0.8955 0.1045 0.0000
H1 0.1656 0.6467 0.1015
H2 0.3533 0.8344 0.1015
H3 0.6467 0.1656 0.6015
H4 0.8344 0.3533 0.6015
Se1 0.3289 0.6711 0.2329
Se2 0.6711 0.3289 0.7329
Br1 0.0626 0.2690 0.3098
Br2 0.2690 0.0626 0.8098
Br3 0.7310 0.9374 0.3098
Br4 0.9374 0.7310 0.8098

Output
The volume is 339.13 Å³/cell. For the density, the calculation gives 4.32 g/cm³. The value obtained for the density of states at the Fermi level is 0.00 states/eV/f.u. For the total DFT energy (no corrections), the calculation gives -30.4 eV per cell.

***

2.
First-principles (PBE-GGA) data for a geometry-optimized HgHSe2Br structure, as listed in Alexandria via LeMat-Bulk.

a = 5.3597 Å, b = 5.3597 Å, c = 5.7648 Å
α = 90.00°, β = 90.00°, γ = 90.00°
Element x y z (fractional)
Hg1 0.0000 0.0000 0.0000
H1 0.5000 0.5000 0.5000
Se1 0.0000 0.5000 0.0000
Se2 0.5000 0.0000 0.0000
Br1 0.0000 0.0000 0.5000

Output
The volume is 165.60 Å³/cell. For the density, the calculation gives 4.41 g/cm³. The value obtained for the density of states at the Fermi level is 4.49 states/eV/f.u. For the energy above the most stable polymorph in this dataset, the calculation gives 647.1 meV per atom. For the total DFT energy (no corrections), the calculation gives -7.7 eV per cell.

***

3.
First-principles (PBE-GGA) data for a geometry-optimized HgHSe2Br structure, as listed in Alexandria via LeMat-Bulk.

a = 4.0219 Å, b = 4.0219 Å, c = 7.5143 Å
α = 90.00°, β = 90.00°, γ = 90.00°
Element x y z (fractional)
Hg1 0.0000 0.0000 0.0000
H1 0.5000 0.5000 0.5000
Se1 0.0000 0.5000 0.5000
Se2 0.5000 0.0000 0.5000
Br1 0.5000 0.5000 0.0000

Output
The volume is 121.55 Å³/cell. For the density, the calculation gives 6.00 g/cm³. The value obtained for the density of states at the Fermi level is 0.86 states/eV/f.u. For the energy above the most stable polymorph in this dataset, the calculation gives 0.0 meV per atom. For the total DFT energy (no corrections), the calculation gives -11.0 eV per cell.

***

4.
First-principles (PBE-GGA) data for a geometry-optimized Hg2HSeBr structure, as listed in Alexandria via LeMat-Bulk.

a = 6.0433 Å, b = 6.0433 Å, c = 3.3579 Å
α = 90.00°, β = 90.00°, γ = 90.00°
Element x y z (fractional)
Hg1 0.0000 0.5000 0.0000
Hg2 0.5000 0.0000 0.0000
H1 0.0000 0.0000 0.5000
Se1 0.5000 0.5000 0.5000
Br1 0.0000 0.0000 0.0000

Output
The volume is 122.63 Å³/cell. For the density, the calculation gives 7.60 g/cm³. The value obtained for the density of states at the Fermi level is 3.22 states/eV/f.u. For the total DFT energy (no corrections), the calculation gives -7.4 eV per cell.